VASP calculation (PBE-GGA) on a relaxed La5Ga4Au crystal.

Cell: 3.761 3.761 18.980 Å, 90.00 90.00 90.00°
Space group P4/mmm (No. 123)
One atom of each set of equivalent atoms:
La (0.000, 0.000, 0.000) x1
La (0.000, 0.000, 0.199) x2
La (0.000, 0.000, 0.397) x2
Ga (0.500, 0.500, 0.099) x2
Ga (0.500, 0.500, 0.298) x2
Au (0.500, 0.500, 0.500) x1

Computed properties:
Total energy in eV/atom: -4.610
Formation energy from the elements in eV per atom: -0.61

=====

VASP calculation (PBE-GGA) on a relaxed In2Sn2Ir3 crystal.

Cell: 12.677 4.258 5.596 Å, 90.00 107.64 90.00°
Space group C2/m (No. 12)
One atom of each set of equivalent atoms:
In (0.176, 0.000, 0.324) x4
Sn (0.064, 0.500, 0.813) x4
Ir (0.000, 0.000, 0.500) x2
Ir (0.217, 0.000, 0.848) x4

Computed properties:
Total energy in eV/atom: -5.838
Formation energy from the elements in eV per atom: -0.11

=====

VASP calculation (PBE-GGA) on a relaxed UReTc crystal.

Cell: 3.875 8.166 7.559 Å, 90.00 90.00 90.00°
Space group Amm2 (No. 38)
One atom of each set of equivalent atoms:
U (0.000, 0.234, 0.000) x4
Re (0.000, 0.000, 0.730) x2
Re (0.500, 0.000, 0.503) x2
Tc (0.000, 0.000, 0.258) x2
Tc (0.500, 0.000, 0.987) x2

Computed properties:
Total energy in eV/atom: -10.820
Formation energy from the elements in eV per atom: 0.55

=====

VASP calculation (PBE-GGA) on a relaxed Ba2DyCd12Ag3 crystal.

Cell: 8.4856 8.4856 26.8106 Å, 90.00 90.00 120.00°
Space group R-3m (No. 166, hexagonal axes)
One atom of each set of equivalent atoms:
Ba (0.0000, 0.0000, 0.1112) x6
Dy (0.0000, 0.0000, 0.5000) x3
Cd (0.0906, 0.5453, 0.2698) x18
Cd (0.0939, 0.5469, 0.8905) x18
Ag (0.0000, 0.5000, 0.0000) x9

Computed properties:
Total energy in eV/atom: -1.506
Formation energy from the elements in eV per atom: 0.05

=====

VASP calculation (PBE-GGA) on a relaxed MgSiPdPt crystal.

Cell: 6.185 6.185 6.185 Å, 90.00 90.00 90.00°
Space group F-43m (No. 216)
One atom of each set of equivalent atoms:
Mg (0.000, 0.000, 0.000) x4
Si (0.000, 0.000, 0.500) x4
Pd (0.250, 0.250, 0.250) x4
Pt (0.250, 0.250, 0.750) x4

Computed properties:
Total energy in eV/atom: -5.195
ΔE_f (raw) in eV/atom: -0.632

=====

VASP calculation (PBE-GGA) on a relaxed InP2HO crystal.

Cell: 3.411 3.411 6.083 Å, 90.00 90.00 90.00°
Space group P4/mmm (No. 123)
One atom of each set of equivalent atoms:
In (0.000, 0.000, 0.000) x1
P (0.000, 0.500, 0.500) x2
H (0.500, 0.500, 0.500) x1
O (0.500, 0.500, 0.000) x1

Computed properties:
Total energy in eV/atom: -4.091

=====

VASP calculation (PBE-GGA) on a relaxed SrReW3 crystal.

Cell: 4.893 4.893 4.893 Å, 90.00 90.00 90.00°
Space group Pm-3m (No. 221)
One atom of each set of equivalent atoms:
Sr (0.000, 0.000, 0.000) x1
Re (0.500, 0.500, 0.500) x1
W (0.000, 0.500, 0.500) x3

Computed properties:
Total energy in eV/atom: -8.951
Formation energy from the elements in eV per atom: 1.65

=====

VASP calculation (PBE-GGA) on a relaxed Si2RuBr crystal.

Cell: 3.973 3.674 5.729 Å, 90.00 92.32 90.00°
Space group Pm (No. 6)
One atom of each set of equivalent atoms:
Si (0.000, 0.000, 0.000) x1
Si (0.394, 0.500, 0.017) x1
Ru (0.885, 0.500, 0.240) x1
Br (0.775, 0.000, 0.582) x1

Computed properties:
Total energy in eV/atom: -5.333
ΔE_f (raw) in eV/atom: 0.116